{"formula": "Nd4YTm6", "functional": "PBE", "state": "relaxed", "magnetic_moment_mub_per_fu": 0.00, "e_tot_ev_per_cell": -49.06, "de_polymorph_ev_per_atom": 0.0000, "dos_at_fermi_per_ev_cell": 13.551, "volume_a3_per_atom": 33.9, "formation_enthalpy_0k_ev_per_atom": 0.30, "cell": [[7.457, -2.916, -5.473], [-5.154, 7.995, 1.889], [-1.879, 2.916, 9.056]], "species": ["Tm", "Nd", "Nd", "Tm", "Tm", "Y", "Tm", "Tm", "Nd", "Tm", "Nd"], "fractional_positions": [[0.000, 0.803, 0.446], [0.621, 0.987, 0.987], [0.379, 0.365, 0.365], [0.644, 0.197, 0.197], [0.000, 0.446, 0.803], [0.000, 0.000, 0.000], [0.500, 0.000, 0.500], [0.500, 0.500, 0.000], [0.000, 0.013, 0.635], [0.356, 0.554, 0.554], [0.000, 0.635, 0.013]]}